Density functional theory data (PBE+U) for SrCoBiRuO6 after structural relaxation.

Calculated values
size of the total moment = 12.05 μB per cell
DFT total energy = -128.43 eV per cell

Cell: 5.7589 5.5398 9.7200 Å, 55.35 90.00 90.00°
Fractional positions:
Sr 0.7084 0.7635 0.2475
Sr 0.2916 0.7635 0.7475
Co 0.7434 0.5047 0.9968
Co 0.2566 0.5047 0.4968
Bi 0.1843 0.2782 0.2247
Bi 0.8157 0.2782 0.7247
Ru 0.7433 0.9993 0.5010
Ru 0.2567 0.9993 0.0010
O 0.2153 0.3036 0.7577
O 0.9807 0.1639 0.0455
O 0.9419 0.7164 0.4837
O 0.4460 0.2566 0.0390
O 0.4655 0.8472 0.4589
O 0.7281 0.6665 0.7452
O 0.7847 0.3036 0.2577
O 0.0193 0.1639 0.5455
O 0.0581 0.7164 0.9837
O 0.5345 0.8472 0.9589
O 0.5540 0.2566 0.5390
O 0.2719 0.6665 0.2452